Below is a relaxed structure of OsSe2, with properties calculated at the PBE level.

Summary:
- Raw total energy: -35.05 eV/cell
- Calculated volume: 26.0 A^3/atom
- Total moment: 0.0 μB per formula unit
- Space group: I-42d (122)

a b c (Å): 6.489 6.489 6.489
angles (deg): 130.10 130.10 73.25
Fractional coordinates of all 6 atoms:
Os (0.500, 0.500, 0.000)
Os (0.250, 0.750, 0.500)
Se (0.628, 0.125, 0.003)
Se (0.375, 0.372, 0.497)
Se (0.875, 0.878, 0.503)
Se (0.122, 0.625, 0.997)

=====

Below is a relaxed structure of OsSe2, with properties calculated at the PBE level.

Summary:
- Raw total energy: -24.86 eV/cell
- Calculated volume: 18.0 A^3/atom
- Total moment: 0.8 μB per formula unit
- Space group: Fd-3m (227)

a b c (Å): 5.341 5.341 5.341
angles (deg): 60.00 60.00 60.00
Site moments in Bohr magnetons follow the coordinates.
Fractional coordinates of all 6 atoms:
Os (0.000, 0.000, 0.000)  0.70
Os (0.250, 0.250, 0.250)  0.70
Se (0.625, 0.625, 0.125)  0.02
Se (0.625, 0.125, 0.625)  0.00
Se (0.125, 0.625, 0.625)  0.00
Se (0.625, 0.625, 0.625)  0.02

=====

Below is a relaxed structure of OsSe2, with properties calculated at the PBE level.

Summary:
- Raw total energy: -33.05 eV/cell
- Calculated volume: 50.4 A^3/atom
- Total moment: 0.0 μB per formula unit
- Space group: Fd-3m (227)

a b c (Å): 7.534 7.534 7.534
angles (deg): 60.00 60.00 60.00
Fractional coordinates of all 6 atoms:
Os (0.125, 0.125, 0.125)
Os (0.875, 0.875, 0.875)
Se (0.000, 0.000, 0.000)
Se (0.500, 0.000, 0.000)
Se (0.000, 0.500, 0.000)
Se (0.000, 0.000, 0.500)

=====

Below is a relaxed structure of Os3Se4, with properties calculated at the PBE level.

Summary:
- Raw total energy: -46.15 eV/cell
- Calculated volume: 18.1 A^3/atom
- Total moment: 0.0 μB per formula unit
- Space group: C2/m (12)

a b c (Å): 6.345 6.345 6.285
angles (deg): 116.84 116.84 34.52
Fractional coordinates of all 7 atoms:
Os (0.000, 0.000, 0.000)
Os (0.264, 0.264, 0.301)
Os (0.736, 0.736, 0.699)
Se (0.360, 0.360, 0.014)
Se (0.107, 0.107, 0.454)
Se (0.893, 0.893, 0.546)
Se (0.640, 0.640, 0.986)

=====

Below is a relaxed structure of SnOsSe4, with properties calculated at the PBE level.

Summary:
- Raw total energy: -61.14 eV/cell
- Calculated volume: 24.9 A^3/atom
- Total moment: 0.0 μB per formula unit
- Space group: P-1 (2)

a b c (Å): 6.671 6.918 7.691
angles (deg): 116.66 92.40 106.11
Fractional coordinates of all 12 atoms:
Os (0.500, 0.292, 0.001)
Os (0.500, 0.708, 0.999)
Se (0.289, 0.994, 0.103)
Se (0.252, 0.503, 0.137)
Se (0.750, 0.958, 0.324)
Se (0.748, 0.502, 0.327)
Se (0.252, 0.498, 0.673)
Se (0.250, 0.042, 0.676)
Se (0.748, 0.497, 0.863)
Se (0.711, 0.006, 0.897)
Sn (0.510, 0.243, 0.481)
Sn (0.490, 0.757, 0.519)

=====

Below is a relaxed structure of Sr3OsSe6, with properties calculated at the PBE level.

Summary:
- Raw total energy: -45.30 eV/cell
- Calculated volume: 29.7 A^3/atom
- Total moment: 2.5 μB per formula unit
- Space group: Fm-3m (225)

a b c (Å): 7.485 7.485 7.485
angles (deg): 60.00 60.00 60.00
Site moments in Bohr magnetons follow the coordinates.
Fractional coordinates of all 10 atoms:
Os (0.000, 0.000, 0.000)  1.18
Se (0.768, 0.232, 0.232)  0.12
Se (0.232, 0.768, 0.232)  0.12
Se (0.768, 0.768, 0.232)  0.12
Se (0.768, 0.232, 0.768)  0.12
Se (0.232, 0.768, 0.768)  0.12
Se (0.232, 0.232, 0.768)  0.12
Sr (0.250, 0.250, 0.250)  0.01
Sr (0.500, 0.500, 0.500)  -0.01
Sr (0.750, 0.750, 0.750)  0.01

=====

Below is a relaxed structure of SrOs3Se, with properties calculated at the PBE level.

Summary:
- Raw total energy: -72.70 eV/cell
- Calculated volume: 21.7 A^3/atom
- Total moment: 0.0 μB per formula unit
- Space group: Imma (74)

a b c (Å): 7.052 7.052 7.052
angles (deg): 138.42 95.85 98.63
Fractional coordinates of all 10 atoms:
Os (0.734, 0.000, 0.234)
Os (0.556, 0.306, 0.250)
Os (0.266, 0.500, 0.266)
Os (0.734, 0.500, 0.734)
Os (0.444, 0.694, 0.750)
Os (0.266, 0.000, 0.766)
Se (0.500, 0.500, 0.000)
Se (0.000, 0.500, 0.500)
Sr (0.204, 0.954, 0.250)
Sr (0.796, 0.046, 0.750)

=====

Below is a relaxed structure of Tc2OsSe4, with properties calculated at the PBE level.

Summary:
- Raw total energy: -89.69 eV/cell
- Calculated volume: 20.2 A^3/atom
- Total moment: 1.8 μB per formula unit
- Space group: Fd-3m (227)

a b c (Å): 7.371 7.371 7.371
angles (deg): 60.00 60.00 60.00
Site moments in Bohr magnetons follow the coordinates.
Fractional coordinates of all 14 atoms:
Os (0.000, 0.000, 0.000)  -0.33
Os (0.750, 0.750, 0.750)  -0.33
Se (0.131, 0.131, 0.131)  -0.01
Se (0.608, 0.131, 0.131)  -0.02
Se (0.131, 0.608, 0.131)  -0.01
Se (0.619, 0.619, 0.142)  -0.01
Se (0.131, 0.131, 0.608)  -0.01
Se (0.619, 0.619, 0.619)  -0.01
Se (0.619, 0.142, 0.619)  -0.01
Se (0.142, 0.619, 0.619)  -0.02
Tc (0.375, 0.375, 0.375)  1.09
Tc (0.875, 0.375, 0.375)  0.93
Tc (0.375, 0.875, 0.375)  1.07
Tc (0.375, 0.375, 0.875)  1.11

=====

Below is a relaxed structure of Te4Os3Se2, with properties calculated at the PBE level.

Summary:
- Raw total energy: -52.93 eV/cell
- Calculated volume: 22.5 A^3/atom
- Total moment: 0.0 μB per formula unit
- Space group: C2/m (12)

a b c (Å): 9.846 9.846 5.302
angles (deg): 91.67 91.67 23.25
Fractional coordinates of all 9 atoms:
Os (0.340, 0.340, 0.028)
Os (0.000, 0.000, 0.500)
Os (0.660, 0.660, 0.972)
Se (0.884, 0.884, 0.275)
Se (0.116, 0.116, 0.725)
Te (0.546, 0.546, 0.221)
Te (0.216, 0.216, 0.252)
Te (0.784, 0.784, 0.748)
Te (0.454, 0.454, 0.779)

=====

Below is a relaxed structure of TeOsSe4, with properties calculated at the PBE level.

Summary:
- Raw total energy: -56.87 eV/cell
- Calculated volume: 26.4 A^3/atom
- Total moment: 0.0 μB per formula unit
- Space group: P-1 (2)

a b c (Å): 6.590 7.603 7.767
angles (deg): 60.75 89.23 71.30
Fractional coordinates of all 12 atoms:
Os (0.500, 0.750, 0.500)
Os (0.500, 0.250, 0.500)
Se (0.259, 0.984, 0.166)
Se (0.259, 0.484, 0.166)
Se (0.718, 0.993, 0.391)
Se (0.718, 0.493, 0.391)
Se (0.282, 0.507, 0.609)
Se (0.282, 0.007, 0.609)
Se (0.741, 0.516, 0.834)
Se (0.741, 0.016, 0.834)
Te (0.500, 0.250, 0.000)
Te (0.500, 0.750, 0.000)

=====

Below is a relaxed structure of TeOsSe, with properties calculated at the PBE level.

Summary:
- Raw total energy: -71.51 eV/cell
- Calculated volume: 23.1 A^3/atom
- Total moment: 0.4 μB per formula unit
- Space group: F-43m (216)

a b c (Å): 7.319 7.319 7.319
angles (deg): 60.00 60.00 60.00
Site moments in Bohr magnetons follow the coordinates.
Fractional coordinates of all 12 atoms:
Os (0.858, 0.858, 0.427)  0.31
Os (0.858, 0.427, 0.858)  0.31
Os (0.427, 0.858, 0.858)  0.28
Os (0.858, 0.858, 0.858)  0.30
Se (0.620, 0.620, 0.141)  0.04
Se (0.620, 0.141, 0.620)  0.05
Se (0.141, 0.620, 0.620)  0.03
Se (0.620, 0.620, 0.620)  0.04
Te (0.119, 0.119, 0.119)  0.03
Te (0.643, 0.119, 0.119)  0.03
Te (0.119, 0.643, 0.119)  0.03
Te (0.119, 0.119, 0.643)  0.03

=====

Below is a relaxed structure of Tl2OsSe3, with properties calculated at the PBE level.

Summary:
- Raw total energy: -54.62 eV/cell
- Calculated volume: 25.5 A^3/atom
- E above lowest polymorph: 0.000 eV per atom
- Total moment: 0.1 μB per formula unit
- Space group: P2_1/m (11)

a b c (Å): 7.687 3.918 10.193
angles (deg): 90.00 95.17 90.00
Fractional coordinates of all 12 atoms:
Os (0.074, 0.750, 0.163)
Os (0.926, 0.250, 0.837)
Se (0.167, 0.250, 0.022)
Se (0.950, 0.250, 0.277)
Se (0.362, 0.750, 0.299)
Se (0.638, 0.250, 0.701)
Se (0.050, 0.750, 0.723)
Se (0.833, 0.750, 0.978)
Tl (0.576, 0.250, 0.149)
Tl (0.248, 0.250, 0.499)
Tl (0.752, 0.750, 0.501)
Tl (0.424, 0.750, 0.851)

=====

Below is a relaxed structure of Tl2OsSe3, with properties calculated at the PBE level.

Summary:
- Raw total energy: -53.84 eV/cell
- Calculated volume: 29.1 A^3/atom
- E above lowest polymorph: 0.065 eV per atom
- Total moment: 0.0 μB per formula unit
- Space group: P-1 (2)

a b c (Å): 6.808 6.858 8.934
angles (deg): 67.69 73.21 66.30
Fractional coordinates of all 12 atoms:
Os (0.484, 0.101, 0.336)
Os (0.516, 0.899, 0.664)
Se (0.715, 0.169, 0.082)
Se (0.126, 0.218, 0.287)
Se (0.573, 0.708, 0.473)
Se (0.427, 0.292, 0.527)
Se (0.874, 0.782, 0.713)
Se (0.285, 0.831, 0.918)
Tl (0.700, 0.640, 0.086)
Tl (0.075, 0.764, 0.328)
Tl (0.925, 0.236, 0.672)
Tl (0.300, 0.360, 0.914)

=====

Below is a relaxed structure of Y2OsSe4, with properties calculated at the PBE level.

Summary:
- Raw total energy: -88.30 eV/cell
- Calculated volume: 26.3 A^3/atom
- Total moment: 0.1 μB per formula unit
- Space group: Fd-3m (227)

a b c (Å): 8.046 8.046 8.046
angles (deg): 60.00 60.00 60.00
Fractional coordinates of all 14 atoms:
Os (0.000, 0.000, 0.000)
Os (0.750, 0.750, 0.750)
Se (0.627, 0.627, 0.118)
Se (0.123, 0.123, 0.123)
Se (0.632, 0.123, 0.123)
Se (0.123, 0.632, 0.123)
Se (0.627, 0.118, 0.627)
Se (0.118, 0.627, 0.627)
Se (0.627, 0.627, 0.627)
Se (0.123, 0.123, 0.632)
Y (0.375, 0.375, 0.375)
Y (0.375, 0.875, 0.375)
Y (0.875, 0.375, 0.375)
Y (0.375, 0.375, 0.875)

=====

Below is a relaxed structure of Zr3OsSe, with properties calculated at the PBE level.

Summary:
- Raw total energy: -87.31 eV/cell
- Calculated volume: 21.2 A^3/atom
- Total moment: 0.0 μB per formula unit
- Space group: Cmcm (63)

a b c (Å): 6.554 6.554 9.649
angles (deg): 90.00 90.00 149.29
Fractional coordinates of all 10 atoms:
Os (0.257, 0.743, 0.250)
Os (0.743, 0.257, 0.750)
Se (0.000, 0.000, 0.000)
Se (0.000, 0.000, 0.500)
Zr (0.658, 0.342, 0.077)
Zr (0.922, 0.078, 0.250)
Zr (0.658, 0.342, 0.423)
Zr (0.342, 0.658, 0.577)
Zr (0.078, 0.922, 0.750)
Zr (0.342, 0.658, 0.923)

=====

Below is a relaxed structure of SiOs2, with properties calculated at the PBE level.

Summary:
- Raw total energy: -49.82 eV/cell
- Calculated volume: 16.0 A^3/atom
- Total moment: 0.0 μB per formula unit
- Space group: Fd-3m (227)

a b c (Å): 5.144 5.144 5.144
angles (deg): 60.00 60.00 60.00
Fractional coordinates of all 6 atoms:
Os (0.625, 0.625, 0.125)
Os (0.625, 0.125, 0.625)
Os (0.125, 0.625, 0.625)
Os (0.625, 0.625, 0.625)
Si (0.000, 0.000, 0.000)
Si (0.250, 0.250, 0.250)

=====

Below is a relaxed structure of SiOs, with properties calculated at the PBE level.

Summary:
- Raw total energy: -17.34 eV/cell
- Calculated volume: 12.9 A^3/atom
- Total moment: 0.0 μB per formula unit
- Space group: Pm-3m (221)

a b c (Å): 2.957 2.957 2.957
angles (deg): 90.00 90.00 90.00
Fractional coordinates of all 2 atoms:
Os (0.000, 0.000, 0.000)
Si (0.500, 0.500, 0.500)

=====

Below is a relaxed structure of SiOs2, with properties calculated at the PBE level.

Summary:
- Raw total energy: -35.15 eV/cell
- Calculated volume: 48.7 A^3/atom
- Total moment: 4.9 μB per formula unit
- Space group: Fd-3m (227)

a b c (Å): 7.450 7.450 7.450
angles (deg): 60.00 60.00 60.00
Site moments in Bohr magnetons follow the coordinates.
Fractional coordinates of all 6 atoms:
Os (0.375, 0.375, 0.375)  2.23
Os (0.875, 0.375, 0.375)  2.00
Os (0.375, 0.875, 0.375)  2.21
Os (0.375, 0.375, 0.875)  2.27
Si (0.250, 0.250, 0.250)  -0.09
Si (0.500, 0.500, 0.500)  -0.09

=====

Below is a relaxed structure of SiOs, with properties calculated at the PBE level.

Summary:
- Raw total energy: -16.99 eV/cell
- Calculated volume: 13.7 A^3/atom
- Total moment: 0.0 μB per formula unit
- Space group: P-6m2 (187)

a b c (Å): 2.931 2.931 3.683
angles (deg): 90.00 90.00 120.00
Fractional coordinates of all 2 atoms:
Os (0.667, 0.333, 0.750)
Si (0.333, 0.667, 0.250)

=====

Below is a relaxed structure of SiOs, with properties calculated at the PBE level.

Summary:
- Raw total energy: -15.36 eV/cell
- Calculated volume: 19.4 A^3/atom
- Total moment: 0.0 μB per formula unit
- Space group: F-43m (216)

a b c (Å): 3.797 3.797 3.797
angles (deg): 60.00 60.00 60.00
Fractional coordinates of all 2 atoms:
Os (0.000, 0.000, 0.000)
Si (0.250, 0.250, 0.250)